# 1
Density functional theory data (meta-GGA SCAN) for a PBEsol-optimized structure of ThAsSe.

Computed properties:
**DOS at the Fermi energy**: 1.60 states/eV/cell
**Formation energy without anion corrections**: -1542.3 meV per atom
**Symmetry**: No. 129
**Electronic total energy**: -46.938 eV/atom
**Magnetic moment**: 0.0 μB/cell

a b c (Å): 4.081 4.081 8.451
angles (deg): 90.00 90.00 90.00
Fractional coordinates of all 6 atoms:
As 0.500 0.500 0.000
As 0.000 0.000 0.000
Se 0.000 0.500 0.367
Se 0.500 0.000 0.633
Th 0.500 0.000 0.268
Th 0.000 0.500 0.732

=====

# 2
Density functional theory data (meta-GGA SCAN) for a PBEsol-optimized structure of Tl3AsSe3.

Computed properties:
**Formation energy without anion corrections**: -340.5 meV per atom
**Symmetry**: No. 160
**Electronic total energy**: -42.841 eV/atom
**Magnetic moment**: 0.0 μB/cell

a b c (Å): 6.095 6.095 6.095
angles (deg): 106.14 106.14 106.14
Fractional coordinates of all 7 atoms:
Tl 0.160 0.543 0.160
Tl 0.160 0.160 0.543
Tl 0.543 0.160 0.160
Se 0.717 0.717 0.101
Se 0.717 0.101 0.717
Se 0.101 0.717 0.717
As 0.691 0.691 0.691